# 1
VASP calculation (PBE) on a relaxed structure of KRb2BaZn.

a b c (Å): 8.1569 6.1321 8.1569
angles (deg): 90.00 90.00 90.00
Fractional positions:
K  0.5000  0.5000  0.5000
Zn  0.0000  0.5000  0.0000
Ba  0.0000  0.0000  0.0000
Rb  0.0000  0.0000  0.5000
Rb  0.5000  0.0000  0.0000

Values from the calculation:
space group = P4/mmm (123)
energy above the lowest structure with this stoichiometry = 1.38 eV/f.u.
mass density = 1.7 g/cm³
calculated formation energy = 0.391 eV per atom



# 2
VASP calculation (PBE) on a relaxed structure of Y6BSe5.

a b c (Å): 7.0215 8.1247 7.0236
angles (deg): 106.92 99.63 125.09
Fractional positions:
Y  0.1496  0.3778  0.3024
Y  0.1528  0.9247  0.3024
Y  0.4546  0.2232  0.0000
Y  0.5454  0.7768  0.0000
Y  0.8472  0.0753  0.6976
Y  0.8504  0.6222  0.6976
B  0.0000  0.0000  0.0000
Se  0.3256  0.8256  0.6512
Se  0.6655  0.6655  0.3310
Se  0.0000  0.5000  0.0000
Se  0.3345  0.3345  0.6690
Se  0.6744  0.1744  0.3488

Values from the calculation:
space group = C2/m (12)
mass density = 5.5 g/cm³
VASP energy = -6.8560 eV/atom